A) {
  "formula": "PuNbPd2",
  "functional": "PBE",
  "state": "optimized geometry",
  "m_tot_mub_per_atom": 1.5545,
  "spacegroup": "No. 225",
  "vol_a3_per_atom": 19.3,
  "cell": [[6.7634, 0.0000, 0.0000], [0.0000, 6.7634, 0.0000], [0.0000, 0.0000, 6.7634]],
  "species": ["Pu", "Pu", "Pu", "Pu", "Nb", "Nb", "Nb", "Nb", "Pd", "Pd", "Pd", "Pd", "Pd", "Pd", "Pd", "Pd"],
  "fractional_positions": [[0.0000, 0.0000, 0.0000], [0.0000, 0.5000, 0.5000], [0.5000, 0.0000, 0.5000], [0.5000, 0.5000, 0.0000], [0.0000, 0.0000, 0.5000], [0.0000, 0.5000, 0.0000], [0.5000, 0.0000, 0.0000], [0.5000, 0.5000, 0.5000], [0.2500, 0.2500, 0.2500], [0.2500, 0.2500, 0.7500], [0.2500, 0.7500, 0.2500], [0.2500, 0.7500, 0.7500], [0.7500, 0.2500, 0.2500], [0.7500, 0.2500, 0.7500], [0.7500, 0.7500, 0.2500], [0.7500, 0.7500, 0.7500]]
}

---

B) {
  "formula": "PuNbPd2",
  "functional": "PBE",
  "state": "optimized geometry",
  "m_tot_mub_per_atom": 1.4589,
  "spacegroup": "No. 123",
  "vol_a3_per_atom": 18.4,
  "cell": [[2.9528, 0.0000, 0.0000], [0.0000, 2.9528, 0.0000], [0.0000, 0.0000, 8.4412]],
  "species": ["Pu", "Nb", "Pd", "Pd"],
  "fractional_positions": [[0.0000, 0.0000, 0.0000], [0.0000, 0.0000, 0.5000], [0.5000, 0.5000, 0.2751], [0.5000, 0.5000, 0.7249]]
}

---

Among the structures above, stability is smallest for A).